Crystalline SrNbAsSe2 at its relaxed geometry, computed with PBEsol.

Results
- energy (eV per cell) = -29.49
- E_form (uncorrected) (eV per formula unit) = -4.0
- volume (Å³/f.u.) = 127.4

```
SrNbAsSe2
1.0
-0.300 0.261 4.972
2.718 -4.242 0.387
4.249 2.733 0.113
Se Sr Nb As
2 1 1 1
direct
0.000 0.000 0.500 Se
0.000 0.500 0.000 Se
0.500 0.500 0.500 Sr
0.000 0.000 0.000 Nb
0.500 0.000 0.000 As
```